No. 1
! AsIr3F (PBE-GGA, optimized geometry); values from VASP
&SYSTEM
  ibrav = 0, nat = 5, ntyp = 3
/
ATOMIC_SPECIES
Ir 192.22 Ir.upf
F 19.00 F.upf
As 74.92 As.upf
CELL_PARAMETERS angstrom
-0.3745 -3.8280 1.9271
-0.0332 -1.9318 -3.8438
4.2856 -0.3495 0.1386
ATOMIC_POSITIONS angstrom
Ir 2.1428 -0.1747 0.0693
F 0.0000 0.0000 0.0000
Ir -0.1872 -1.9140 0.9636
Ir -0.0166 -0.9659 -1.9219
As 1.9390 -3.0546 -0.8890
! theoretical density	13.99	Mg/m³
! space group	No. 221
! formation energy (no corrections)	1.34	eV per atom
! electronic total energy	-5.2806	eV per atom

No. 2
! AsIrF2 (PBE-GGA, optimized geometry); values from VASP
&SYSTEM
  ibrav = 0, nat = 4, ntyp = 3
/
ATOMIC_SPECIES
Ir 192.22 Ir.upf
As 74.92 As.upf
F 19.00 F.upf
CELL_PARAMETERS angstrom
9.2142 -0.0240 -0.0140
8.8176 2.6744 -0.0140
8.8176 1.2961 2.3394
ATOMIC_POSITIONS angstrom
Ir 13.4246 1.9732 1.1557
As 0.0000 0.0000 0.0000
F 25.0105 3.6762 2.1530
F 1.8388 0.2703 0.1583
! theoretical density	8.66	Mg/m³
! space group	No. 166
! formation energy (no corrections)	-0.48	eV per atom
! electronic total energy	-4.7944	eV per atom

Please write out number 2 again, unchanged.
! AsIrF2 (PBE-GGA, optimized geometry); values from VASP
&SYSTEM
  ibrav = 0, nat = 4, ntyp = 3
/
ATOMIC_SPECIES
Ir 192.22 Ir.upf
As 74.92 As.upf
F 19.00 F.upf
CELL_PARAMETERS angstrom
9.2142 -0.0240 -0.0140
8.8176 2.6744 -0.0140
8.8176 1.2961 2.3394
ATOMIC_POSITIONS angstrom
Ir 13.4246 1.9732 1.1557
As 0.0000 0.0000 0.0000
F 25.0105 3.6762 2.1530
F 1.8388 0.2703 0.1583
! theoretical density	8.66	Mg/m³
! space group	No. 166
! formation energy (no corrections)	-0.48	eV per atom
! electronic total energy	-4.7944	eV per atom

What did the first record say?
! AsIr3F (PBE-GGA, optimized geometry); values from VASP
&SYSTEM
  ibrav = 0, nat = 5, ntyp = 3
/
ATOMIC_SPECIES
Ir 192.22 Ir.upf
F 19.00 F.upf
As 74.92 As.upf
CELL_PARAMETERS angstrom
-0.3745 -3.8280 1.9271
-0.0332 -1.9318 -3.8438
4.2856 -0.3495 0.1386
ATOMIC_POSITIONS angstrom
Ir 2.1428 -0.1747 0.0693
F 0.0000 0.0000 0.0000
Ir -0.1872 -1.9140 0.9636
Ir -0.0166 -0.9659 -1.9219
As 1.9390 -3.0546 -0.8890
! theoretical density	13.99	Mg/m³
! space group	No. 221
! formation energy (no corrections)	1.34	eV per atom
! electronic total energy	-5.2806	eV per atom

Question: Among the records above, which one has the lowest theoretical density?
Answer: AsIrF2

Question: Which formula does entry 2 have?
Answer: AsIrF2